Entry from Alexandria via LeMat-Bulk: a geometry-optimized Ta2HgSb structure (PBE).

E, eV per atom: -6.60
Energy relative to the elements, uncorrected, meV per atom: 431
Energy above the lowest structure with this stoichiometry, eV/atom: 0.2338

Lattice parameters (Å, degrees): 5.0031 5.0031 3.1213 90.00 90.00 90.00
Fractional positions:
Hg (0.5000, 0.0000, 0.5000)
Sb (0.0000, 0.5000, 0.5000)
Ta (0.0000, 0.0000, 0.0000)
Ta (0.5000, 0.5000, 0.0000)